BaY2Mg9: optimized geometry, PBE-GGA.

Cell lengths 6.1837, 6.1837, 29.9699 Å; angles 90.00, 90.00, 120.00 degrees
Space group R-3m (No. 166, hexagonal axes)
Symmetry-distinct sites (fractional):
1 Ba 0.0000 0.0000 0.0000 x3
2 Y 0.0000 0.0000 0.1489 x6
3 Mg 0.0000 0.0000 0.3344 x6
4 Mg 0.0000 0.0000 0.5000 x3
5 Mg 0.0058 0.5029 0.9134 x18

Properties
Density, g/cm³: 2.680
E_tot, eV/cell: -90.2
Volume, A^3/atom: 27.57